one:
DFT (GGA-PBE) results for a relaxed structure of YMg4Zn2.

abc: 4.2881 16.7256 4.2400
angles: 90.00 90.00 90.00
With the nearest neighbours (Å) after each atom.
Space group Cmmm (No. 65)
Symmetry-distinct sites (fractional):
Y  0.0000  0.0000  0.0000 [2 per cell]  8 Zn 3.25, 4 Mg 3.63
Mg  0.0000  0.1764  0.5000 [4 per cell]  2 Zn 2.76, 4 Mg 3.02
Mg  0.0000  0.3218  0.0000 [4 per cell]  2 Zn 2.76, 4 Mg 3.02
Zn  0.0000  0.4276  0.5000 [4 per cell]  1 Zn 2.42

two:
DFT (GGA-PBE) results for a relaxed structure of YMg4Zn2.

abc: 8.2556 8.2556 4.4417
angles: 90.00 90.00 90.00
With the nearest neighbours (Å) after each atom.
Space group P4_2/mnm (No. 136)
Symmetry-distinct sites (fractional):
Y  0.0000  0.0000  0.0000 [2 per cell]  6 Zn 3.32-3.37, 12 Mg 3.61-3.65
Mg  0.0931  0.3384  0.5000 [8 per cell]  3 Zn 2.72-2.78, 1 Mg 2.86
Zn  0.2117  0.7883  0.5000 [4 per cell]  6 Mg 2.72-2.78

Which structure wins on stability? one wins.